Entry 1:
{"formula": "Y2Zr2O7", "functional": "GGA-PBEsol", "state": "relaxed", "lattice": [[7.759, 0.000, 0.000], [0.000, 5.466, 0.000], [-2.012, 0.000, 13.430]], "species": ["Y", "Y", "Y", "Y", "Y", "Y", "Y", "Y", "Zr", "Zr", "Zr", "Zr", "Zr", "Zr", "Zr", "Zr", "O", "O", "O", "O", "O", "O", "O", "O", "O", "O", "O", "O", "O", "O", "O", "O", "O", "O", "O", "O", "O", "O", "O", "O", "O", "O", "O", "O"], "fractional_positions": [[0.136, 0.000, 0.060], [0.239, 0.449, 0.428], [0.287, 0.915, 0.634], [0.361, 0.435, 0.896], [0.639, 0.935, 0.104], [0.713, 0.415, 0.366], [0.761, 0.949, 0.572], [0.864, 0.500, 0.940], [0.027, 0.433, 0.619], [0.074, 0.938, 0.820], [0.411, 0.449, 0.172], [0.467, 0.935, 0.372], [0.533, 0.435, 0.628], [0.589, 0.949, 0.828], [0.926, 0.438, 0.180], [0.973, 0.933, 0.381], [0.005, 0.590, 0.326], [0.074, 0.722, 0.522], [0.079, 0.225, 0.917], [0.139, 0.637, 0.731], [0.154, 0.717, 0.935], [0.170, 0.307, 0.175], [0.223, 0.054, 0.384], [0.272, 0.308, 0.586], [0.323, 0.077, 0.798], [0.365, 0.787, 0.125], [0.416, 0.584, 0.327], [0.424, 0.250, 0.046], [0.442, 0.717, 0.524], [0.473, 0.646, 0.736], [0.527, 0.146, 0.264], [0.558, 0.217, 0.476], [0.576, 0.750, 0.954], [0.584, 0.084, 0.673], [0.635, 0.287, 0.875], [0.677, 0.577, 0.202], [0.728, 0.808, 0.414], [0.777, 0.554, 0.616], [0.830, 0.807, 0.825], [0.846, 0.217, 0.065], [0.861, 0.137, 0.269], [0.921, 0.725, 0.083], [0.926, 0.222, 0.478], [0.995, 0.090, 0.674]], "n_ef_per_ev_atom": 0.000, "m_tot_mub_per_cell": 0.0, "e_tot_ev_per_atom": -9.75, "raw_formation_energy_ev_per_atom": -3.51}

Entry 2:
{"formula": "Y4Zr3O12", "functional": "GGA-PBEsol", "state": "relaxed", "lattice": [[6.278, 0.000, 0.000], [-1.056, 6.250, 0.000], [-0.966, -1.288, 6.307]], "species": ["Y", "Y", "Y", "Y", "Zr", "Zr", "Zr", "O", "O", "O", "O", "O", "O", "O", "O", "O", "O", "O", "O"], "fractional_positions": [[0.114, 0.302, 0.135], [0.197, 0.865, 0.390], [0.803, 0.135, 0.610], [0.886, 0.698, 0.865], [0.349, 0.396, 0.670], [0.500, 0.000, 0.000], [0.651, 0.604, 0.330], [0.085, 0.416, 0.821], [0.088, 0.188, 0.435], [0.185, 0.935, 0.059], [0.328, 0.569, 0.425], [0.423, 0.086, 0.694], [0.477, 0.322, 0.116], [0.523, 0.678, 0.884], [0.577, 0.914, 0.306], [0.672, 0.431, 0.575], [0.815, 0.065, 0.941], [0.912, 0.812, 0.565], [0.915, 0.584, 0.179]], "n_ef_per_ev_atom": 0.000, "polymorph_energy_ev_per_atom": 0.000, "m_tot_mub_per_cell": 0.0, "e_tot_ev_per_atom": -9.78, "raw_formation_energy_ev_per_atom": -3.60}

Entry 3:
{"formula": "YZrO3", "functional": "GGA-PBEsol", "state": "relaxed", "lattice": [[7.285, -5.114, 0.000], [7.285, 5.114, 0.000], [-7.235, 0.000, 7.290]], "species": ["Y", "Y", "Y", "Y", "Y", "Y", "Y", "Y", "Zr", "Zr", "Zr", "Zr", "Zr", "Zr", "Zr", "Zr", "O", "O", "O", "O", "O", "O", "O", "O", "O", "O", "O", "O", "O", "O", "O", "O", "O", "O", "O", "O", "O", "O", "O", "O"], "fractional_positions": [[0.000, 0.000, 0.000], [0.249, 0.214, 0.460], [0.265, 0.692, 0.716], [0.308, 0.735, 0.284], [0.502, 0.498, 0.000], [0.766, 0.191, 0.242], [0.786, 0.751, 0.540], [0.809, 0.234, 0.758], [0.024, 0.455, 0.718], [0.035, 0.965, 0.500], [0.047, 0.479, 0.239], [0.289, 0.254, 0.002], [0.521, 0.953, 0.761], [0.537, 0.463, 0.500], [0.545, 0.976, 0.282], [0.746, 0.711, 0.998], [0.001, 0.702, 0.458], [0.031, 0.709, 0.215], [0.041, 0.733, 0.783], [0.045, 0.216, 0.725], [0.074, 0.227, 0.011], [0.246, 0.499, 0.001], [0.267, 0.959, 0.217], [0.272, 0.438, 0.724], [0.284, 0.465, 0.464], [0.291, 0.969, 0.785], [0.298, 0.999, 0.542], [0.488, 0.191, 0.220], [0.501, 0.754, 0.999], [0.533, 0.235, 0.994], [0.535, 0.716, 0.536], [0.543, 0.218, 0.518], [0.562, 0.728, 0.276], [0.737, 0.018, 0.760], [0.765, 0.467, 0.006], [0.773, 0.926, 0.989], [0.782, 0.457, 0.482], [0.784, 0.955, 0.275], [0.809, 0.512, 0.780], [0.982, 0.263, 0.240]], "n_ef_per_ev_atom": 0.024, "m_tot_mub_per_cell": 0.0, "e_tot_ev_per_atom": -9.68, "raw_formation_energy_ev_per_atom": -3.35}

Entry 4:
{"formula": "YZr5O11", "functional": "GGA-PBEsol", "state": "relaxed", "lattice": [[6.469, 0.000, 0.000], [0.000, 3.514, 0.000], [-0.121, 0.000, 8.909]], "species": ["Y", "Zr", "Zr", "Zr", "Zr", "Zr", "O", "O", "O", "O", "O", "O", "O", "O", "O", "O", "O"], "fractional_positions": [[0.000, 0.000, 0.000], [0.168, 0.500, 0.338], [0.324, 0.000, 0.673], [0.518, 0.500, 0.998], [0.647, 0.000, 0.335], [0.841, 0.500, 0.663], [0.032, 0.000, 0.753], [0.058, 0.000, 0.250], [0.134, 0.500, 0.568], [0.351, 0.000, 0.945], [0.365, 0.000, 0.439], [0.449, 0.500, 0.230], [0.467, 0.500, 0.743], [0.687, 0.000, 0.105], [0.698, 0.000, 0.594], [0.804, 0.500, 0.390], [0.807, 0.500, 0.898]], "m_tot_mub_per_cell": 1.0, "e_tot_ev_per_atom": -9.87, "raw_formation_energy_ev_per_atom": -3.39}

Entry 5:
{"formula": "YZr4O9", "functional": "GGA-PBEsol", "state": "relaxed", "lattice": [[5.170, 0.000, 0.000], [2.244, 5.571, 0.000], [2.293, 0.194, 5.852]], "species": ["Y", "Zr", "Zr", "Zr", "Zr", "O", "O", "O", "O", "O", "O", "O", "O", "O"], "fractional_positions": [[0.000, 0.000, 0.000], [0.236, 0.440, 0.210], [0.353, 0.848, 0.424], [0.647, 0.239, 0.552], [0.760, 0.656, 0.786], [0.003, 0.624, 0.000], [0.051, 0.163, 0.279], [0.239, 0.498, 0.539], [0.418, 0.734, 0.109], [0.426, 0.973, 0.715], [0.566, 0.105, 0.289], [0.644, 0.341, 0.878], [0.739, 0.577, 0.471], [0.945, 0.941, 0.672]], "n_ef_per_ev_atom": 0.221, "m_tot_mub_per_cell": 0.8, "e_tot_ev_per_atom": -9.87, "raw_formation_energy_ev_per_atom": -3.41}

Entry 6:
{"formula": "Y4Zr3O12", "functional": "GGA-PBEsol", "state": "relaxed", "lattice": [[6.344, 0.000, 0.000], [-1.070, 6.257, 0.000], [-1.025, -1.158, 6.161]], "species": ["Y", "Y", "Y", "Y", "Zr", "Zr", "Zr", "O", "O", "O", "O", "O", "O", "O", "O", "O", "O", "O", "O"], "fractional_positions": [[0.000, 0.000, 0.000], [0.090, 0.252, 0.554], [0.392, 0.780, 0.723], [0.558, 0.079, 0.254], [0.313, 0.528, 0.164], [0.702, 0.393, 0.862], [0.839, 0.698, 0.471], [0.018, 0.352, 0.952], [0.105, 0.949, 0.678], [0.115, 0.573, 0.421], [0.272, 0.227, 0.274], [0.276, 0.809, 0.048], [0.380, 0.446, 0.804], [0.521, 0.783, 0.422], [0.626, 0.078, 0.917], [0.644, 0.482, 0.180], [0.755, 0.321, 0.546], [0.770, 0.705, 0.785], [0.876, 0.955, 0.298]], "n_ef_per_ev_atom": 0.000, "polymorph_energy_ev_per_atom": 0.005, "m_tot_mub_per_cell": 0.0, "e_tot_ev_per_atom": -9.78, "raw_formation_energy_ev_per_atom": -3.59}

Entry 7:
{"formula": "Zr2ZnO", "functional": "GGA-PBEsol", "state": "relaxed", "lattice": [[6.281, 0.000, 0.000], [0.000, 6.281, 0.000], [0.000, 0.000, 6.281]], "species": ["Zr", "Zr", "Zr", "Zr", "Zr", "Zr", "Zr", "Zr", "Zn", "Zn", "Zn", "Zn", "O", "O", "O", "O"], "fractional_positions": [[0.250, 0.250, 0.250], [0.250, 0.250, 0.750], [0.250, 0.750, 0.250], [0.250, 0.750, 0.750], [0.750, 0.250, 0.250], [0.750, 0.250, 0.750], [0.750, 0.750, 0.250], [0.750, 0.750, 0.750], [0.000, 0.000, 0.000], [0.000, 0.500, 0.500], [0.500, 0.000, 0.500], [0.500, 0.500, 0.000], [0.000, 0.000, 0.500], [0.000, 0.500, 0.000], [0.500, 0.000, 0.000], [0.500, 0.500, 0.500]], "n_ef_per_ev_atom": 0.821, "m_tot_mub_per_cell": 0.0, "e_tot_ev_per_atom": -6.67, "raw_formation_energy_ev_per_atom": -0.42}

Entry 8:
{"formula": "ZrZnO2", "functional": "GGA-PBEsol", "state": "relaxed", "lattice": [[3.200, 0.000, 0.000], [-1.600, 2.771, 0.000], [0.000, 0.000, 18.310]], "species": ["Zr", "Zr", "Zr", "Zn", "Zn", "Zn", "O", "O", "O", "O", "O", "O"], "fractional_positions": [[0.000, 0.000, 0.000], [0.333, 0.667, 0.667], [0.667, 0.333, 0.333], [0.000, 0.000, 0.500], [0.333, 0.667, 0.167], [0.667, 0.333, 0.833], [0.000, 0.000, 0.108], [0.000, 0.000, 0.892], [0.333, 0.667, 0.558], [0.333, 0.667, 0.775], [0.667, 0.333, 0.225], [0.667, 0.333, 0.442]], "n_ef_per_ev_atom": 0.182, "m_tot_mub_per_cell": 0.0, "e_tot_ev_per_atom": -6.85, "raw_formation_energy_ev_per_atom": -1.56}

Entry 9:
{"formula": "ZrO2", "functional": "GGA-PBEsol", "state": "relaxed", "lattice": [[4.854, 0.000, 0.000], [0.000, 4.854, 0.000], [0.000, 0.000, 3.242]], "species": ["Zr", "Zr", "O", "O", "O", "O"], "fractional_positions": [[0.000, 0.000, 0.000], [0.500, 0.500, 0.500], [0.194, 0.194, 0.500], [0.306, 0.694, 0.000], [0.694, 0.306, 0.000], [0.806, 0.806, 0.500]], "n_ef_per_ev_atom": 0.000, "m_tot_mub_per_cell": 0.0, "e_tot_ev_per_atom": -9.95, "raw_formation_energy_ev_per_atom": -3.42}

Entry 10:
{"formula": "ZrO2", "functional": "GGA-PBEsol", "state": "relaxed", "lattice": [[4.002, 0.000, 0.000], [0.000, 4.002, 0.000], [0.000, 0.000, 10.653]], "species": ["Zr", "Zr", "Zr", "Zr", "O", "O", "O", "O", "O", "O", "O", "O"], "fractional_positions": [[0.000, 0.250, 0.375], [0.000, 0.750, 0.625], [0.500, 0.250, 0.125], [0.500, 0.750, 0.875], [0.000, 0.250, 0.173], [0.000, 0.250, 0.577], [0.000, 0.750, 0.423], [0.000, 0.750, 0.827], [0.500, 0.250, 0.327], [0.500, 0.250, 0.923], [0.500, 0.750, 0.077], [0.500, 0.750, 0.673]], "n_ef_per_ev_atom": 0.000, "m_tot_mub_per_cell": 0.0, "e_tot_ev_per_atom": -9.97, "raw_formation_energy_ev_per_atom": -3.44}

Entry 11:
{"formula": "ZrO2", "functional": "GGA-PBEsol", "state": "relaxed", "lattice": [[5.074, 0.000, 0.000], [0.000, 10.057, 0.000], [0.000, 0.000, 5.248]], "species": ["Zr", "Zr", "Zr", "Zr", "Zr", "Zr", "Zr", "Zr", "O", "O", "O", "O", "O", "O", "O", "O", "O", "O", "O", "O", "O", "O", "O", "O"], "fractional_positions": [[0.247, 0.115, 0.035], [0.247, 0.385, 0.535], [0.253, 0.615, 0.035], [0.253, 0.885, 0.535], [0.747, 0.115, 0.465], [0.747, 0.385, 0.965], [0.753, 0.615, 0.465], [0.753, 0.885, 0.965], [0.002, 0.023, 0.739], [0.002, 0.477, 0.239], [0.128, 0.710, 0.375], [0.128, 0.790, 0.875], [0.372, 0.210, 0.375], [0.372, 0.290, 0.875], [0.498, 0.523, 0.739], [0.498, 0.977, 0.239], [0.502, 0.023, 0.761], [0.502, 0.477, 0.261], [0.628, 0.710, 0.125], [0.628, 0.790, 0.625], [0.872, 0.210, 0.125], [0.872, 0.290, 0.625], [0.998, 0.523, 0.761], [0.998, 0.977, 0.261]], "n_ef_per_ev_atom": 0.000, "m_tot_mub_per_cell": 0.0, "e_tot_ev_per_atom": -10.01, "raw_formation_energy_ev_per_atom": -3.48}

Entry 12:
{"formula": "ZrO2", "functional": "GGA-PBEsol", "state": "relaxed", "lattice": [[7.646, 0.000, 0.000], [0.000, 3.428, 0.000], [0.000, 0.000, 5.397]], "species": ["Zr", "Zr", "Zr", "Zr", "O", "O", "O", "O", "O", "O", "O", "O"], "fractional_positions": [[0.170, 0.250, 0.144], [0.330, 0.750, 0.644], [0.670, 0.250, 0.356], [0.830, 0.750, 0.856], [0.110, 0.750, 0.891], [0.143, 0.750, 0.370], [0.357, 0.250, 0.870], [0.390, 0.250, 0.391], [0.610, 0.750, 0.609], [0.643, 0.750, 0.130], [0.857, 0.250, 0.630], [0.890, 0.250, 0.109]], "n_ef_per_ev_atom": 0.000, "m_tot_mub_per_cell": 0.0, "e_tot_ev_per_atom": -10.00, "raw_formation_energy_ev_per_atom": -3.47}

Entry 13:
{"formula": "ZrO2", "functional": "GGA-PBEsol", "state": "relaxed", "lattice": [[3.589, 0.000, 0.000], [0.000, 3.589, 0.000], [0.000, 0.000, 5.170]], "species": ["Zr", "Zr", "O", "O", "O", "O"], "fractional_positions": [[0.250, 0.750, 0.250], [0.750, 0.250, 0.750], [0.250, 0.250, 0.048], [0.250, 0.250, 0.548], [0.750, 0.750, 0.452], [0.750, 0.750, 0.952]], "n_ef_per_ev_atom": 0.000, "m_tot_mub_per_cell": 0.0, "e_tot_ev_per_atom": -10.00, "raw_formation_energy_ev_per_atom": -3.47}

Entry 14:
{"formula": "ZrO2", "functional": "GGA-PBEsol", "state": "relaxed", "lattice": [[6.612, -1.988, 0.000], [6.612, 1.988, 0.000], [-2.072, 0.000, 6.717]], "species": ["Zr", "Zr", "Zr", "Zr", "O", "O", "O", "O", "O", "O", "O", "O"], "fractional_positions": [[0.101, 0.101, 0.211], [0.193, 0.193, 0.788], [0.807, 0.807, 0.212], [0.899, 0.899, 0.789], [0.059, 0.059, 0.878], [0.129, 0.129, 0.504], [0.260, 0.260, 0.145], [0.356, 0.356, 0.790], [0.644, 0.644, 0.210], [0.740, 0.740, 0.855], [0.871, 0.871, 0.496], [0.941, 0.941, 0.122]], "n_ef_per_ev_atom": 0.000, "m_tot_mub_per_cell": 0.0, "e_tot_ev_per_atom": -9.93, "raw_formation_energy_ev_per_atom": -3.40}

Entry 15:
{"formula": "Zr6O11", "functional": "GGA-PBEsol", "state": "relaxed", "lattice": [[3.575, 0.000, 0.000], [0.000, 3.587, 0.000], [0.000, 0.000, 15.455]], "species": ["Zr", "Zr", "Zr", "Zr", "Zr", "Zr", "O", "O", "O", "O", "O", "O", "O", "O", "O", "O", "O"], "fractional_positions": [[0.000, 0.000, 0.000], [0.000, 0.000, 0.330], [0.000, 0.000, 0.665], [0.500, 0.500, 0.165], [0.500, 0.500, 0.497], [0.500, 0.500, 0.832], [0.000, 0.500, 0.068], [0.000, 0.500, 0.394], [0.000, 0.500, 0.563], [0.000, 0.500, 0.732], [0.000, 0.500, 0.900], [0.500, 0.000, 0.098], [0.500, 0.000, 0.262], [0.500, 0.000, 0.430], [0.500, 0.000, 0.597], [0.500, 0.000, 0.764], [0.500, 0.000, 0.931]], "n_ef_per_ev_atom": 0.003, "m_tot_mub_per_cell": 0.0, "e_tot_ev_per_atom": -9.92, "raw_formation_energy_ev_per_atom": -3.32}

Entry 16:
{"formula": "ZrO2", "functional": "GGA-PBEsol", "state": "relaxed", "lattice": [[5.132, 0.000, 0.000], [0.000, 5.214, 0.000], [-0.882, 0.000, 5.221]], "species": ["Zr", "Zr", "Zr", "Zr", "O", "O", "O", "O", "O", "O", "O", "O"], "fractional_positions": [[0.223, 0.043, 0.291], [0.223, 0.457, 0.791], [0.777, 0.543, 0.209], [0.777, 0.957, 0.709], [0.051, 0.742, 0.520], [0.051, 0.758, 0.020], [0.430, 0.163, 0.660], [0.430, 0.337, 0.160], [0.570, 0.663, 0.840], [0.570, 0.837, 0.340], [0.949, 0.242, 0.980], [0.949, 0.258, 0.480]], "n_ef_per_ev_atom": 0.000, "m_tot_mub_per_cell": 0.0, "e_tot_ev_per_atom": -10.02, "raw_formation_energy_ev_per_atom": -3.49}

Entry 17:
{"formula": "ZrO2", "functional": "GGA-PBEsol", "state": "relaxed", "lattice": [[8.034, 0.000, 0.000], [0.000, 8.034, 0.000], [0.000, 0.000, 5.008]], "species": ["Zr", "Zr", "Zr", "Zr", "Zr", "Zr", "Zr", "Zr", "Zr", "Zr", "O", "O", "O", "O", "O", "O", "O", "O", "O", "O", "O", "O", "O", "O", "O", "O", "O", "O", "O", "O"], "fractional_positions": [[0.077, 0.616, 0.246], [0.116, 0.923, 0.754], [0.250, 0.250, 0.177], [0.384, 0.577, 0.754], [0.423, 0.884, 0.246], [0.577, 0.116, 0.754], [0.616, 0.423, 0.246], [0.750, 0.750, 0.823], [0.884, 0.077, 0.246], [0.923, 0.384, 0.754], [0.043, 0.161, 0.922], [0.045, 0.358, 0.387], [0.142, 0.045, 0.387], [0.161, 0.457, 0.922], [0.250, 0.750, 0.000], [0.250, 0.750, 0.500], [0.339, 0.043, 0.922], [0.358, 0.455, 0.387], [0.455, 0.142, 0.387], [0.457, 0.339, 0.922], [0.543, 0.661, 0.078], [0.545, 0.858, 0.613], [0.642, 0.545, 0.613], [0.661, 0.957, 0.078], [0.750, 0.250, 0.000], [0.750, 0.250, 0.500], [0.839, 0.543, 0.078], [0.858, 0.955, 0.613], [0.955, 0.642, 0.613], [0.957, 0.839, 0.078]], "n_ef_per_ev_atom": 0.000, "m_tot_mub_per_cell": 0.0, "e_tot_ev_per_atom": -9.98, "raw_formation_energy_ev_per_atom": -3.45}